Al2PPd | PBE | relaxed

Unit cell a=5.9870 b=5.9870 c=9.2787 alpha=90.00 beta=90.00 gamma=90.00
With the nearest neighbours (Å) after each atom.
Sites, in units of the cell vectors:
Al 0.2377 0.2500 0.1250  2 P 2.37, 2 Pd 2.46
Al 0.2500 0.7377 0.3750  2 P 2.37, 2 Pd 2.46
Al 0.2500 0.7623 0.8750  2 P 2.37, 2 Pd 2.46
Al 0.2623 0.2500 0.6250  2 P 2.37, 2 Pd 2.46
Al 0.7377 0.7500 0.6250  2 P 2.37, 2 Pd 2.46
Al 0.7500 0.2377 0.8750  2 P 2.37, 2 Pd 2.46
Al 0.7500 0.2623 0.3750  2 P 2.37, 2 Pd 2.46
Al 0.7623 0.7500 0.1250  2 P 2.37, 2 Pd 2.46
P 0.0000 0.0000 0.0000  4 Al 2.37
P 0.0000 0.5000 0.2500  4 Al 2.37
P 0.5000 0.0000 0.7500  4 Al 2.37
P 0.5000 0.5000 0.5000  4 Al 2.37
Pd 0.0000 0.0000 0.5000  4 Al 2.46
Pd 0.0000 0.5000 0.7500  4 Al 2.46
Pd 0.5000 0.0000 0.2500  4 Al 2.46
Pd 0.5000 0.5000 0.0000  4 Al 2.46

For the total energy, the calculation gives -4.717 eV/atom. For the size of the total moment, the calculation gives 0.00 μB/atom. The space group is I-42d, No. 122. Its crystal system is tetragonal.